1.
# CrTeMo | the Alexandria database | PBE-GGA | optimized geometry
# M_tot = 0.0 μB per formula unit
# space group = I4mm (107)
# ΔE to the lowest computed polymorph = 0.242 eV per atom
# uncorrected energy = -7.3773 eV per atom
# crystal system = tetragonal
# raw formation energy = 0.4881 eV per atom
data_CrTeMo
_symmetry_space_group_name_H-M 'P 1'
_symmetry_Int_Tables_number 1
_cell_length_a 5.193
_cell_length_b 5.193
_cell_length_c 5.193
_cell_angle_alpha 143.62
_cell_angle_beta 143.62
_cell_angle_gamma 52.40
loop_
_symmetry_equiv_pos_as_xyz
'x,y,z'
loop_
_atom_site_label
_atom_site_type_symbol
_atom_site_fract_x
_atom_site_fract_y
_atom_site_fract_z
Cr1 Cr 0.000 0.000 0.000
Te1 Te 0.335 0.335 0.000
Mo1 Mo 0.653 0.653 0.000

=====

2.
# DyZn2Ga3 | the Alexandria database | PBE-GGA | optimized geometry
# M_tot = 0.0 μB per formula unit
# space group = C2/m (12)
# energy relative to the elements = -309 meV/atom
# uncorrected energy = -3.0139 eV per atom
# crystal system = monoclinic
data_DyZn2Ga3
_symmetry_space_group_name_H-M 'P 1'
_symmetry_Int_Tables_number 1
_cell_length_a 8.151
_cell_length_b 8.151
_cell_length_c 6.665
_cell_angle_alpha 100.93
_cell_angle_beta 100.93
_cell_angle_gamma 30.48
loop_
_symmetry_equiv_pos_as_xyz
'x,y,z'
loop_
_atom_site_label
_atom_site_type_symbol
_atom_site_fract_x
_atom_site_fract_y
_atom_site_fract_z
Dy1 Dy 0.114 0.114 0.182
Dy2 Dy 0.886 0.886 0.818
Zn1 Zn 0.236 0.236 0.650
Zn2 Zn 0.466 0.466 0.150
Zn3 Zn 0.534 0.534 0.850
Zn4 Zn 0.764 0.764 0.350
Ga1 Ga 0.062 0.062 0.664
Ga2 Ga 0.297 0.297 0.065
Ga3 Ga 0.378 0.378 0.500
Ga4 Ga 0.622 0.622 0.500
Ga5 Ga 0.703 0.703 0.935
Ga6 Ga 0.938 0.938 0.336

=====

3.
# SmDy2Tl2 | the Alexandria database | PBE-GGA | optimized geometry
# M_tot = 0.0 μB per formula unit
# space group = P2_1/m (11)
# energy relative to the elements = -285 meV/atom
# uncorrected energy = -4.0162 eV per atom
# crystal system = monoclinic
data_SmDy2Tl2
_symmetry_space_group_name_H-M 'P 1'
_symmetry_Int_Tables_number 1
_cell_length_a 3.785
_cell_length_b 5.429
_cell_length_c 14.206
_cell_angle_alpha 90.00
_cell_angle_beta 97.68
_cell_angle_gamma 90.00
loop_
_symmetry_equiv_pos_as_xyz
'x,y,z'
loop_
_atom_site_label
_atom_site_type_symbol
_atom_site_fract_x
_atom_site_fract_y
_atom_site_fract_z
Sm1 Sm 0.147 0.250 0.298
Sm2 Sm 0.853 0.750 0.702
Dy1 Dy 0.050 0.750 0.099
Dy2 Dy 0.237 0.750 0.474
Dy3 Dy 0.763 0.250 0.526
Dy4 Dy 0.950 0.250 0.901
Tl1 Tl 0.356 0.250 0.711
Tl2 Tl 0.452 0.750 0.905
Tl3 Tl 0.548 0.250 0.095
Tl4 Tl 0.644 0.750 0.289

=====

4.
# Hg2OsPb | the Alexandria database | PBE-GGA | optimized geometry
# M_tot = 0.0 μB per formula unit
# space group = I-4m2 (119)
# energy relative to the elements = 847 meV/atom
# uncorrected energy = -3.0382 eV per atom
# crystal system = tetragonal
data_Hg2OsPb
_symmetry_space_group_name_H-M 'P 1'
_symmetry_Int_Tables_number 1
_cell_length_a 5.391
_cell_length_b 5.391
_cell_length_c 5.391
_cell_angle_alpha 132.51
_cell_angle_beta 132.51
_cell_angle_gamma 69.43
loop_
_symmetry_equiv_pos_as_xyz
'x,y,z'
loop_
_atom_site_label
_atom_site_type_symbol
_atom_site_fract_x
_atom_site_fract_y
_atom_site_fract_z
Hg1 Hg 0.000 0.000 0.000
Hg2 Hg 0.750 0.250 0.500
Os1 Os 0.250 0.750 0.500
Pb1 Pb 0.500 0.500 0.000

=====

5.
# CaPCl2 | the Alexandria database | PBE-GGA | optimized geometry
# M_tot = 0.0 μB per formula unit
# space group = I-4m2 (119)
# ΔE to the lowest computed polymorph = 0.267 eV per atom
# uncorrected energy = -3.5687 eV per atom
# crystal system = tetragonal
# raw formation energy = -0.7925 eV per atom
data_CaPCl2
_symmetry_space_group_name_H-M 'P 1'
_symmetry_Int_Tables_number 1
_cell_length_a 6.382
_cell_length_b 6.382
_cell_length_c 6.382
_cell_angle_alpha 144.37
_cell_angle_beta 144.37
_cell_angle_gamma 51.27
loop_
_symmetry_equiv_pos_as_xyz
'x,y,z'
loop_
_atom_site_label
_atom_site_type_symbol
_atom_site_fract_x
_atom_site_fract_y
_atom_site_fract_z
Ca1 Ca 0.000 0.000 0.000
P1 P 0.750 0.250 0.500
Cl1 Cl 0.250 0.750 0.500
Cl2 Cl 0.500 0.500 0.000

=====

6.
# UZn2Ge | the Alexandria database | PBE-GGA | optimized geometry
# M_tot = 2.3 μB per formula unit
# space group = P4/mmm (123)
# energy relative to the elements = -36 meV/atom
# uncorrected energy = -4.6496 eV per atom
# crystal system = tetragonal
data_UZn2Ge
_symmetry_space_group_name_H-M 'P 1'
_symmetry_Int_Tables_number 1
_cell_length_a 4.130
_cell_length_b 4.130
_cell_length_c 4.519
_cell_angle_alpha 90.00
_cell_angle_beta 90.00
_cell_angle_gamma 90.00
loop_
_symmetry_equiv_pos_as_xyz
'x,y,z'
loop_
_atom_site_label
_atom_site_type_symbol
_atom_site_fract_x
_atom_site_fract_y
_atom_site_fract_z
U1 U 0.000 0.000 0.000
Zn1 Zn 0.000 0.500 0.500
Zn2 Zn 0.500 0.000 0.500
Ge1 Ge 0.500 0.500 0.000

=====

7.
# LiPm3Th2S6 | the Alexandria database | PBE-GGA | optimized geometry
# M_tot = 0.0 μB per formula unit
# space group = C2/m (12)
# uncorrected energy = -6.5362 eV per atom
# crystal system = monoclinic
# raw formation energy = -1.8887 eV per atom
data_LiPm3Th2S6
_symmetry_space_group_name_H-M 'P 1'
_symmetry_Int_Tables_number 1
_cell_length_a 6.958
_cell_length_b 6.958
_cell_length_c 6.926
_cell_angle_alpha 99.69
_cell_angle_beta 99.69
_cell_angle_gamma 120.32
loop_
_symmetry_equiv_pos_as_xyz
'x,y,z'
loop_
_atom_site_label
_atom_site_type_symbol
_atom_site_fract_x
_atom_site_fract_y
_atom_site_fract_z
Li1 Li 0.000 0.000 0.000
Pm1 Pm 0.167 0.833 0.500
Pm2 Pm 0.500 0.500 0.500
Pm3 Pm 0.833 0.167 0.500
Th1 Th 0.334 0.666 0.000
Th2 Th 0.666 0.334 0.000
S1 S 0.080 0.403 0.242
S2 S 0.240 0.240 0.758
S3 S 0.403 0.080 0.242
S4 S 0.597 0.920 0.758
S5 S 0.760 0.760 0.242
S6 S 0.920 0.597 0.758

=====

8.
# Ac3HfGa2N6 | the Alexandria database | PBE-GGA | optimized geometry
# M_tot = 0.0 μB per formula unit
# space group = P-3m1 (164)
# uncorrected energy = -7.3864 eV per atom
# crystal system = trigonal
# raw formation energy = -0.8626 eV per atom
data_Ac3HfGa2N6
_symmetry_space_group_name_H-M 'P 1'
_symmetry_Int_Tables_number 1
_cell_length_a 6.000
_cell_length_b 6.000
_cell_length_c 6.695
_cell_angle_alpha 90.00
_cell_angle_beta 90.00
_cell_angle_gamma 120.00
loop_
_symmetry_equiv_pos_as_xyz
'x,y,z'
loop_
_atom_site_label
_atom_site_type_symbol
_atom_site_fract_x
_atom_site_fract_y
_atom_site_fract_z
Ac1 Ac 0.000 0.000 0.000
Ac2 Ac 0.333 0.667 0.639
Ac3 Ac 0.667 0.333 0.361
Hf1 Hf 0.000 0.000 0.500
Ga1 Ga 0.333 0.667 0.190
Ga2 Ga 0.667 0.333 0.810
N1 N 0.167 0.334 0.307
N2 N 0.167 0.833 0.307
N3 N 0.334 0.167 0.693
N4 N 0.666 0.833 0.307
N5 N 0.833 0.167 0.693
N6 N 0.833 0.666 0.693

=====

9.
# HfBeO2F | the Alexandria database | PBE-GGA | optimized geometry
# M_tot = 0.0 μB per formula unit
# space group = P4/mmm (123)
# uncorrected energy = -7.4153 eV per atom
# crystal system = tetragonal
# raw formation energy = -2.3219 eV per atom
data_HfBeO2F
_symmetry_space_group_name_H-M 'P 1'
_symmetry_Int_Tables_number 1
_cell_length_a 3.778
_cell_length_b 3.778
_cell_length_c 3.045
_cell_angle_alpha 90.00
_cell_angle_beta 90.00
_cell_angle_gamma 90.00
loop_
_symmetry_equiv_pos_as_xyz
'x,y,z'
loop_
_atom_site_label
_atom_site_type_symbol
_atom_site_fract_x
_atom_site_fract_y
_atom_site_fract_z
Hf1 Hf 0.000 0.000 0.000
Be1 Be 0.500 0.500 0.500
O1 O 0.000 0.500 0.500
O2 O 0.500 0.000 0.500
F1 F 0.500 0.500 0.000

=====

10.
# TmThPSe | the Alexandria database | PBE-GGA | optimized geometry
# M_tot = 0.0 μB per formula unit
# space group = R3m (160)
# uncorrected energy = -6.7879 eV per atom
# crystal system = trigonal
# raw formation energy = -1.5914 eV per atom
data_TmThPSe
_symmetry_space_group_name_H-M 'P 1'
_symmetry_Int_Tables_number 1
_cell_length_a 7.498
_cell_length_b 7.498
_cell_length_c 7.498
_cell_angle_alpha 30.80
_cell_angle_beta 30.80
_cell_angle_gamma 30.80
loop_
_symmetry_equiv_pos_as_xyz
'x,y,z'
loop_
_atom_site_label
_atom_site_type_symbol
_atom_site_fract_x
_atom_site_fract_y
_atom_site_fract_z
Tm1 Tm 0.000 0.000 0.000
Th1 Th 0.813 0.813 0.813
P1 P 0.403 0.403 0.403
Se1 Se 0.243 0.243 0.243

=====

11.
# ZnTc2Sn | the Alexandria database | PBE-GGA | optimized geometry
# M_tot = 0.0 μB per formula unit
# space group = I-42d (122)
# energy relative to the elements = 419 meV/atom
# ΔE to the lowest computed polymorph = 0.159 eV per atom
# uncorrected energy = -6.0830 eV per atom
# crystal system = tetragonal
data_ZnTc2Sn
_symmetry_space_group_name_H-M 'P 1'
_symmetry_Int_Tables_number 1
_cell_length_a 9.790
_cell_length_b 9.790
_cell_length_c 9.790
_cell_angle_alpha 156.71
_cell_angle_beta 156.71
_cell_angle_gamma 33.17
loop_
_symmetry_equiv_pos_as_xyz
'x,y,z'
loop_
_atom_site_label
_atom_site_type_symbol
_atom_site_fract_x
_atom_site_fract_y
_atom_site_fract_z
Zn1 Zn 0.000 0.000 0.000
Zn2 Zn 0.750 0.250 0.500
Tc1 Tc 0.046 0.625 0.921
Tc2 Tc 0.375 0.296 0.421
Tc3 Tc 0.704 0.125 0.079
Tc4 Tc 0.875 0.954 0.579
Sn1 Sn 0.250 0.750 0.500
Sn2 Sn 0.500 0.500 0.000

=====

12.
# Er3TmRu3 | the Alexandria database | PBE-GGA | optimized geometry
# M_tot = 0.0 μB per formula unit
# space group = R3m (160)
# energy relative to the elements = -424 meV/atom
# ΔE to the lowest computed polymorph = 0.000 eV per atom
# uncorrected energy = -6.9936 eV per atom
# crystal system = trigonal
data_Er3TmRu3
_symmetry_space_group_name_H-M 'P 1'
_symmetry_Int_Tables_number 1
_cell_length_a 5.776
_cell_length_b 5.776
_cell_length_c 5.776
_cell_angle_alpha 109.45
_cell_angle_beta 109.45
_cell_angle_gamma 109.45
loop_
_symmetry_equiv_pos_as_xyz
'x,y,z'
loop_
_atom_site_label
_atom_site_type_symbol
_atom_site_fract_x
_atom_site_fract_y
_atom_site_fract_z
Er1 Er 0.195 0.195 0.610
Er2 Er 0.195 0.610 0.195
Er3 Er 0.610 0.195 0.195
Tm1 Tm 0.780 0.780 0.780
Ru1 Ru 0.195 0.696 0.696
Ru2 Ru 0.696 0.195 0.696
Ru3 Ru 0.696 0.696 0.195